{"formula": "AlCoOs", "functional": "PBE", "state": "optimized geometry", "de_polymorph_kcal_per_mol_atoms": 0.00, "dft_energy_ev_per_cell": -21.8, "cell": [[1.512, -3.550, 0.888], [-2.288, -3.226, -0.176], [0.572, -2.679, -2.859]], "species": ["Al", "Co", "Os"], "frac_coords": [[0.250, 0.250, 0.250], [0.000, 0.000, 0.000], [0.750, 0.750, 0.750]]}

***

{"formula": "Sn2IrO4", "functional": "PBE", "state": "optimized geometry", "dft_energy_ev_per_cell": -81.0, "cell": [[4.688, -4.691, 0.000], [-4.688, 0.000, -4.691], [4.688, 4.691, 0.000]], "species": ["Ir", "Ir", "O", "O", "O", "O", "O", "O", "O", "O", "Sn", "Sn", "Sn", "Sn"], "frac_coords": [[0.000, 0.000, 0.000], [0.750, 0.500, 0.250], [0.124, 0.248, 0.372], [0.626, 0.748, 0.374], [0.122, 0.748, 0.374], [0.626, 0.252, 0.374], [0.124, 0.248, 0.876], [0.628, 0.752, 0.876], [0.124, 0.752, 0.876], [0.626, 0.252, 0.878], [0.375, 0.750, 0.125], [0.375, 0.250, 0.625], [0.375, 0.750, 0.625], [0.875, 0.250, 0.625]]}

***

{"formula": "Y2Co2Tc", "functional": "PBE", "state": "optimized geometry", "e_form_ev_per_atom": 0.578, "dft_energy_ev_per_cell": -34.6, "cell": [[-1.802, 1.802, 6.755], [1.802, -1.802, 6.755], [1.802, 1.802, -6.755]], "species": ["Co", "Co", "Tc", "Y", "Y"], "frac_coords": [[0.750, 0.250, 0.500], [0.250, 0.750, 0.500], [0.000, 0.000, 0.000], [0.393, 0.393, 0.000], [0.607, 0.607, 0.000]]}

***

{"formula": "Ta7W5", "functional": "PBE", "state": "optimized geometry", "de_polymorph_kcal_per_mol_atoms": 4.11, "e_form_ev_per_atom": 0.230, "dft_energy_ev_per_cell": -290.0, "cell": [[5.324, 0.000, 0.000], [-2.662, 4.611, 0.000], [0.000, 0.000, 17.537]], "species": ["Ta", "Ta", "Ta", "Ta", "Ta", "Ta", "Ta", "Ta", "Ta", "Ta", "Ta", "Ta", "Ta", "Ta", "W", "W", "W", "W", "W", "W", "W", "W", "W", "W"], "frac_coords": [[0.000, 0.000, 0.092], [0.333, 0.667, 0.122], [0.164, 0.327, 0.250], [0.164, 0.836, 0.250], [0.673, 0.836, 0.250], [0.333, 0.667, 0.378], [0.000, 0.000, 0.408], [0.000, 0.000, 0.592], [0.667, 0.333, 0.622], [0.327, 0.164, 0.750], [0.836, 0.164, 0.750], [0.836, 0.673, 0.750], [0.667, 0.333, 0.878], [0.000, 0.000, 0.908], [0.500, 0.000, 0.000], [0.000, 0.500, 0.000], [0.500, 0.500, 0.000], [0.667, 0.333, 0.155], [0.667, 0.333, 0.345], [0.500, 0.000, 0.500], [0.000, 0.500, 0.500], [0.500, 0.500, 0.500], [0.333, 0.667, 0.655], [0.333, 0.667, 0.845]]}